Run A
An optimized crystal structure of Dy2HoPa, computed with PBE-GGA.

abc: 3.406 3.406 10.151
angles: 90.00 90.00 90.00
Positions (direct):
Dy (0.000, 0.000, 0.766)
Dy (0.000, 0.000, 0.234)
Pa (0.500, 0.500, 0.000)
Ho (0.500, 0.500, 0.500)

Total moment: 0.00 μB/atom
Crystal system: tetragonal
N(E_F): 6.40 states/eV/cell
Space-group type: No. 123

=====

Run B
An optimized crystal structure of Dy2HoPa, computed with PBE-GGA.

abc: 3.326 3.326 12.333
angles: 82.25 82.25 60.00
Positions (direct):
Dy (0.088, 0.088, 0.737)
Dy (0.912, 0.912, 0.263)
Ho (0.500, 0.500, 0.500)
Pa (0.000, 0.000, 0.000)

Total moment: 0.00 μB/atom
Crystal system: trigonal
N(E_F): 5.50 states/eV/cell
Space-group type: No. 166

=====

Run C
An optimized crystal structure of Dy2HoPa, computed with PBE-GGA.

abc: 4.881 4.906 4.906
angles: 90.00 90.00 90.00
Positions (direct):
Pa (0.500, 0.000, 0.000)
Dy (0.000, 0.500, 0.000)
Dy (0.000, 0.000, 0.500)
Ho (0.500, 0.500, 0.500)

Total moment: 0.00 μB/atom
Crystal system: tetragonal
N(E_F): 5.11 states/eV/cell
Space-group type: No. 123

=====

Run D
An optimized crystal structure of Dy2HoPa, computed with PBE-GGA.

abc: 3.426 3.426 11.648
angles: 81.54 81.54 60.00
Positions (direct):
Pa (0.500, 0.500, 0.499)
Dy (0.247, 0.247, 0.258)
Dy (0.086, 0.086, 0.743)
Ho (0.666, 0.666, 0.001)

Total moment: 0.00 μB/atom
Crystal system: trigonal
N(E_F): 6.08 states/eV/cell
Space-group type: No. 160

=====

Which structure is most stable? run D, by 19 meV/atom over the runner-up.

=====

Run A
An optimized crystal structure of Dy2HoPb, computed with PBE-GGA.

abc: 5.185 5.185 6.343
angles: 66.60 66.60 61.49
Positions (direct):
Dy (0.052, 0.052, 0.845)
Dy (0.269, 0.269, 0.186)
Ho (0.494, 0.494, 0.532)
Pb (0.685, 0.685, 0.936)

Total moment: 0.00 μB/atom
Crystal system: monoclinic
N(E_F): 5.33 states/eV/cell
Space-group type: No. 8

=====

Run B
An optimized crystal structure of Dy2HoPb, computed with PBE-GGA.

abc: 4.847 4.843 4.843
angles: 90.00 90.00 90.00
Positions (direct):
Dy (0.000, 0.000, 0.500)
Dy (0.000, 0.500, 0.000)
Ho (0.500, 0.000, 0.000)
Pb (0.500, 0.500, 0.500)

Total moment: 0.00 μB/atom
Crystal system: tetragonal
N(E_F): 4.88 states/eV/cell
Space-group type: No. 123

=====

Which structure is most stable? run B, by 325 meV/atom over the runner-up.

=====

Run A
An optimized crystal structure of Dy2HoPb, computed with PBE-GGA.

abc: 3.617 3.617 9.259
angles: 90.00 90.00 90.00
Positions (direct):
Pb (0.500, 0.500, 0.000)
Dy (0.000, 0.000, 0.764)
Dy (0.000, 0.000, 0.236)
Ho (0.500, 0.500, 0.500)

Total moment: 0.00 μB/atom
Crystal system: tetragonal
N(E_F): 3.85 states/eV/cell
Space-group type: No. 123

=====

Run B
An optimized crystal structure of Dy2HoPb, computed with PBE-GGA.

abc: 3.524 3.524 12.166
angles: 81.67 81.67 60.00
Positions (direct):
Pb (0.000, 0.000, 0.000)
Dy (0.088, 0.088, 0.735)
Dy (0.912, 0.912, 0.265)
Ho (0.500, 0.500, 0.500)

Total moment: 0.00 μB/atom
Crystal system: trigonal
N(E_F): 3.95 states/eV/cell
Space-group type: No. 166

=====

Which structure is most stable? run A, by 251 meV/atom over the runner-up.

=====

Run A
An optimized crystal structure of Dy5HoPb6, computed with PBE-GGA.

abc: 8.640 6.123 8.265
angles: 68.26 79.40 60.23
Positions (direct):
Dy (0.000, 0.666, 0.667)
Dy (0.500, 0.167, 0.666)
Dy (0.500, 0.500, 0.000)
Dy (0.500, 0.833, 0.334)
Dy (0.000, 0.334, 0.333)
Pb (0.249, 0.585, 0.333)
Pb (0.751, 0.083, 0.333)
Pb (0.749, 0.752, 0.000)
Pb (0.251, 0.248, 0.000)
Pb (0.751, 0.415, 0.667)
Pb (0.249, 0.917, 0.667)
Ho (0.000, 0.000, 0.000)

Total moment: 0.00 μB/atom
Crystal system: monoclinic
N(E_F): 7.84 states/eV/cell
Space-group type: No. 12

=====

Run B
An optimized crystal structure of Dy5HoPb6, computed with PBE-GGA.

abc: 5.121 8.842 9.061
angles: 60.80 72.94 90.01
Positions (direct):
Dy (0.666, 0.166, 0.668)
Dy (0.334, 0.834, 0.332)
Dy (0.667, 0.667, 0.667)
Dy (0.000, 0.500, 0.000)
Dy (0.333, 0.333, 0.333)
Pb (0.833, 0.584, 0.333)
Pb (0.167, 0.917, 0.667)
Pb (0.833, 0.083, 0.333)
Pb (0.500, 0.750, 0.000)
Pb (0.500, 0.250, 0.000)
Pb (0.167, 0.416, 0.667)
Ho (0.000, 0.000, 0.000)

Total moment: 0.00 μB/atom
Crystal system: monoclinic
N(E_F): 11.99 states/eV/cell
Space-group type: No. 12

=====

Which structure is most stable? run A, by 8 meV/atom over the runner-up.

=====

Run A
An optimized crystal structure of DyHoPd, computed with PBE-GGA.

abc: 3.541 3.541 6.574
angles: 105.62 105.62 90.00
Positions (direct):
Ho (0.304, 0.304, 0.608)
Dy (0.028, 0.028, 0.056)
Pd (0.668, 0.668, 0.336)

Total moment: 0.00 μB/atom
Crystal system: tetragonal
N(E_F): 2.51 states/eV/cell
Space-group type: No. 107

=====

Run B
An optimized crystal structure of DyHoPd, computed with PBE-GGA.

abc: 7.379 7.379 9.671
angles: 90.00 90.00 120.00
Positions (direct):
Ho (0.406, 0.406, 0.250)
Ho (0.406, 0.406, 0.750)
Ho (0.000, 0.594, 0.750)
Ho (0.594, 0.000, 0.250)
Ho (0.594, 0.000, 0.750)
Ho (0.000, 0.594, 0.250)
Pd (0.333, 0.667, 0.000)
Pd (0.333, 0.667, 0.500)
Pd (0.667, 0.333, 0.000)
Pd (0.667, 0.333, 0.500)
Pd (0.000, 0.000, 0.750)
Pd (0.000, 0.000, 0.250)
Dy (0.000, 0.264, 0.000)
Dy (0.264, 0.000, 0.000)
Dy (0.000, 0.264, 0.500)
Dy (0.736, 0.736, 0.000)
Dy (0.736, 0.736, 0.500)
Dy (0.264, 0.000, 0.500)

Total moment: 0.00 μB/atom
Crystal system: hexagonal
N(E_F): 21.75 states/eV/cell
Space-group type: No. 189

=====

Which structure is most stable? run B, by 16 meV/atom over the runner-up.

=====

Run A
An optimized crystal structure of DyHoPd, computed with PBE-GGA.

abc: 6.908 6.418 7.242
angles: 90.00 90.00 94.24
Positions (direct):
Pd (0.718, 0.798, 0.452)
Pd (0.782, 0.202, 0.952)
Pd (0.218, 0.798, 0.048)
Pd (0.282, 0.202, 0.548)
Dy (0.263, 0.603, 0.394)
Dy (0.763, 0.603, 0.106)
Dy (0.237, 0.397, 0.894)
Dy (0.737, 0.397, 0.606)
Ho (0.502, 0.079, 0.242)
Ho (0.998, 0.921, 0.742)
Ho (0.002, 0.079, 0.258)
Ho (0.498, 0.921, 0.758)

Total moment: 0.00 μB/atom
Crystal system: monoclinic
N(E_F): 15.03 states/eV/cell
Space-group type: No. 14

=====

Run B
An optimized crystal structure of DyHoPd, computed with PBE-GGA.

abc: 6.701 7.042 7.347
angles: 75.24 90.00 90.00
Positions (direct):
Dy (0.750, 0.937, 0.016)
Dy (0.750, 0.937, 0.516)
Dy (0.250, 0.063, 0.484)
Dy (0.250, 0.063, 0.984)
Ho (0.755, 0.460, 0.889)
Ho (0.745, 0.460, 0.389)
Ho (0.245, 0.540, 0.111)
Ho (0.255, 0.540, 0.611)
Pd (0.457, 0.786, 0.300)
Pd (0.043, 0.786, 0.800)
Pd (0.957, 0.214, 0.200)
Pd (0.543, 0.214, 0.700)

Total moment: 0.00 μB/atom
Crystal system: monoclinic
N(E_F): 12.62 states/eV/cell
Space-group type: No. 14

=====

Which structure is most stable? run A, by 68 meV/atom over the runner-up.